PaCdIn2: optimized geometry, PBE.

As for the calculated volume: 24.88 A^3/atom. Its density of states at the Fermi level is 1.280 states/eV/atom. The calculation puts the energy at -16.1 eV/cell. For the energy of formation from the pure elements, the calculation gives -1.14 kcal/mol of atoms. The space group is P4/mmm, No. 123.

Cell lengths 4.538, 4.683, 4.683 Å; angles 90.00, 90.00, 90.00 degrees
Fractional positions:
In 0.000 0.000 0.500
In 0.000 0.500 0.000
Pa 0.500 0.500 0.500
Cd 0.500 0.000 0.000



AgSbH: optimized geometry, PBE.

As for the calculated volume: 18.19 A^3/atom. Its density of states at the Fermi level is 0.263 states/eV/atom. The calculation puts the energy at -19.5 eV/cell. The space group is P-1, No. 2.

Cell lengths 3.305, 4.780, 9.674 Å; angles 52.42, 69.92, 90.02 degrees
Fractional positions:
Ag 0.221 0.013 0.135
Ag 0.325 0.271 0.537
H 0.022 0.895 0.838
H 0.524 0.389 0.834
Sb 0.757 0.559 0.099
Sb 0.789 0.725 0.572



AcMgH6Os: optimized geometry, PBE.

As for the calculated volume: 10.59 A^3/atom. Its density of states at the Fermi level is 0.222 states/eV/atom. The calculation puts the energy at -40.3 eV/cell. The space group is P-6m2, No. 187.

Cell lengths 4.837, 4.837, 4.704 Å; angles 90.00, 90.00, 60.00 degrees
Fractional positions:
H 0.480 0.479 0.241
H 0.479 0.480 0.759
H 0.480 0.041 0.759
H 0.479 0.041 0.241
H 0.041 0.479 0.759
H 0.041 0.480 0.241
Mg 0.667 0.667 0.500
Ac 0.000 0.000 0.000
Os 0.333 0.333 0.500



ZrAlSi2: optimized geometry, PBE.

The calculation puts the energy relative to the elements, uncorrected at 21 meV/atom. As for the calculated volume: 16.94 A^3/atom. Its density of states at the Fermi level is 0.506 states/eV/atom. The calculation puts the energy at -23.1 eV/cell. The space group is Cmm2, No. 35.

Cell lengths 2.877, 2.877, 8.278 Å; angles 90.00, 90.00, 98.54 degrees
Fractional positions:
Si 0.500 0.500 0.241
Si 0.000 0.000 0.004
Zr 0.000 0.000 0.489
Al 0.500 0.500 0.765